Record 1
Computed, not measured: BaBi2O5 after structural relaxation at the PBE level of DFT.

## Properties
- calculated density (g/cm3) = 6.353
- spin magnetization (μB/cell) = 0.00
- energy above the most stable polymorph in this dataset (meV/atom) = 93
- space-group type = No. 123

Cell: 4.1866 4.1866 9.4735 Å, 90.00 90.00 90.00°
Last column: nearest neighbours and their distance in Å.
Atoms (fractional coordinates):
1 O 0.0000 0.5000 0.3087  2 Bi 2.25
2 O 0.5000 0.0000 0.6913  2 Bi 2.25
3 Bi 0.5000 0.5000 0.2221  5 O 2.10-2.25
4 O 0.5000 0.5000 0.0000  2 Bi 2.10
5 Bi 0.5000 0.5000 0.7779  5 O 2.10-2.25
6 O 0.0000 0.5000 0.6913  2 Bi 2.25
7 O 0.5000 0.0000 0.3087  2 Bi 2.25
8 Ba 0.0000 0.0000 0.5000  8 O 2.77

=====

Record 2
Computed, not measured: Ba12Bi5O2 after structural relaxation at the PBE level of DFT.

## Properties
- calculated density (g/cm3) = 5.108
- spin magnetization (μB/cell) = 4.34
- E_tot (eV/atom) = -3.786
- space-group type = No. 12

Cell: 8.7547 10.6518 10.8605 Å, 104.90 90.00 114.26°
Last column: nearest neighbours and their distance in Å.
Atoms (fractional coordinates):
1 Ba 0.0885 0.6865 0.9202  1 O 2.93
2 O 0.2677 0.0000 0.0000  6 Ba 2.78-2.97
3 Bi 0.3173 0.6346 0.1588  7 Ba 3.54-3.68
4 Bi 0.6906 0.3813 0.3454  7 Ba 3.56-3.68
5 Ba 0.0983 0.7000 0.4265  4 Bi 3.54-3.68
6 Bi 0.0000 0.0000 0.5000  6 Ba 3.54-3.60
7 Ba 0.9985 0.9970 0.1679  2 O 2.97
8 Ba 0.4980 0.9960 0.8240  2 O 2.78
9 Ba 0.6017 0.7000 0.4265  4 Bi 3.54-3.68
10 Bi 0.3094 0.6187 0.6546  7 Ba 3.56-3.68
11 Ba 0.5020 0.0040 0.1760  2 O 2.78
12 Ba 0.5980 0.6865 0.9202  1 O 2.93
13 Ba 0.3983 0.3000 0.5735  4 Bi 3.54-3.68
14 Ba 0.9115 0.3135 0.0798  1 O 2.93
15 Ba 0.4020 0.3135 0.0798  1 O 2.93
16 Ba 0.9017 0.3000 0.5735  4 Bi 3.54-3.68
17 O 0.7323 0.0000 0.0000  6 Ba 2.78-2.97
18 Ba 0.0015 0.0030 0.8321  2 O 2.97
19 Bi 0.6827 0.3654 0.8412  7 Ba 3.54-3.68

=====

Record 3
Computed, not measured: Ba8Bi4O17 after structural relaxation at the PBE level of DFT.

## Properties
- calculated density (g/cm3) = 6.685
- spin magnetization (μB/cell) = 0.00
- E_tot (eV/atom) = -5.935
- space-group type = No. 8

Cell: 11.0341 11.0341 6.3756 Å, 74.07 74.07 47.75°
Last column: nearest neighbours and their distance in Å.
Atoms (fractional coordinates):
1 Bi 0.0000 0.0000 0.0040  6 O 2.10-2.32
2 O 0.9358 0.9358 0.3565  2 Bi 2.23-2.45
3 Ba 0.4203 0.9400 0.8321  6 O 2.76-2.96
4 Ba 0.2258 0.7469 0.5530  6 O 2.67-2.94
5 O 0.7691 0.7691 0.4003  1 Bi 2.11
6 Ba 0.1593 0.1593 0.3398  4 O 2.52-2.60
7 Ba 0.7469 0.2258 0.5530  6 O 2.67-2.94
8 O 0.7309 0.7309 0.9754  2 Bi 2.21-2.34
9 Bi 0.3373 0.3373 0.6809  6 O 2.14-2.19
10 O 0.2460 0.2460 0.5707  1 Bi 2.16
11 Ba 0.5882 0.1096 0.1642  5 O 2.70-2.97
12 O 0.7549 0.2210 0.0012  1 Bi 2.10
13 O 0.8993 0.8993 0.9003  2 Bi 2.21-2.32
14 O 0.1007 0.1007 0.0378  1 Bi 2.11
15 O 0.0893 0.5783 0.6797  2 Bi 2.19-2.28
16 Ba 0.1096 0.5882 0.1642  5 O 2.70-2.97
17 O 0.6218 0.6218 0.6723  1 Bi 2.12
18 O 0.2727 0.2727 0.0160  1 Bi 2.14
19 O 0.2210 0.7549 0.0012  1 Bi 2.10
20 O 0.0490 0.0490 0.6569  1 Bi 2.14
21 O 0.4052 0.4052 0.3506  1 Bi 2.14
22 O 0.8224 0.4265 0.2768  1 Bi 2.10
23 O 0.4278 0.4278 0.7940  1 Bi 2.16
24 O 0.4265 0.8224 0.2768  1 Bi 2.10
25 Ba 0.9400 0.4203 0.8321  6 O 2.76-2.96
26 O 0.5783 0.0893 0.6797  2 Bi 2.19-2.28
27 Bi 0.6735 0.6735 0.3301  5 O 2.10-2.21
28 Bi 0.8332 0.8332 0.6800  5 O 2.21-2.45
29 Ba 0.5203 0.5203 0.0302  5 O 2.49-2.73

=====

Record 4
Computed, not measured: BaBi2O5 after structural relaxation at the PBE level of DFT.

## Properties
- calculated density (g/cm3) = 8.177
- spin magnetization (μB/cell) = 0.00
- energy above the most stable polymorph in this dataset (meV/atom) = 168
- space-group type = No. 140

Cell: 6.5186 6.5186 7.6236 Å, 115.31 115.31 90.00°
Last column: nearest neighbours and their distance in Å.
Atoms (fractional coordinates):
1 Bi 0.6735 0.1735 0.0000  4 O 2.19-2.41
2 Bi 0.1735 0.3265 0.0000  4 O 2.19-2.41
3 O 0.7318 0.2318 0.7604  1 Bi 2.19
4 O 0.7682 0.9714 0.2396  1 Bi 2.19
5 O 0.0000 0.0000 0.0000  4 Bi 2.41
6 Bi 0.3265 0.8265 0.0000  4 O 2.19-2.41
7 Ba 0.2500 0.2500 0.5000  10 O 2.95-3.04
8 Bi 0.8265 0.6735 0.0000  4 O 2.19-2.41
9 O 0.5000 0.5000 0.0000  4 Bi 2.41
10 O 0.0286 0.5286 0.7604  1 Bi 2.19
11 O 0.9714 0.4714 0.2396  1 Bi 2.19
12 O 0.4714 0.2682 0.2396  1 Bi 2.19
13 O 0.2682 0.7682 0.2396  1 Bi 2.19
14 O 0.5286 0.7318 0.7604  1 Bi 2.19
15 O 0.2318 0.0286 0.7604  1 Bi 2.19
16 Ba 0.7500 0.7500 0.5000  10 O 2.95-3.04

=====

Record 5
Computed, not measured: Ba8Bi4O17 after structural relaxation at the PBE level of DFT.

## Properties
- calculated density (g/cm3) = 6.604
- spin magnetization (μB/cell) = 0.00
- E_tot (eV/atom) = -5.937
- space-group type = No. 1

Cell: 6.4107 6.3573 14.3617 Å, 103.44 102.65 89.60°
Last column: nearest neighbours and their distance in Å.
Atoms (fractional coordinates):
1 O 0.6076 0.5820 0.7306  1 Bi 2.12
2 Ba 0.0383 0.5890 0.1721  4 O 2.65-2.89
3 O 0.1525 0.5347 0.6064  1 Bi 2.11
4 O 0.7655 0.7348 0.9861  2 Bi 2.22-2.40
5 Ba 0.2790 0.7761 0.4954  6 O 2.70-3.01
6 O 0.2439 0.7728 0.9739  2 Bi 2.21-2.36
7 O 0.0979 0.0069 0.1574  1 Bi 2.10
8 Ba 0.1611 0.1804 0.3371  5 O 2.50-2.59
9 O 0.5631 0.1149 0.6154  1 Bi 2.10
10 Bi 0.9993 0.0081 0.0078  6 O 2.10-2.22
11 O 0.3489 0.3282 0.8239  1 Bi 2.10
12 Bi 0.6528 0.6684 0.3358  6 O 2.11-2.32
13 Bi 0.3592 0.3359 0.6793  5 O 2.10-2.14
14 O 0.2230 0.2883 0.0313  2 Bi 2.21-2.35
15 Ba 0.8593 0.8274 0.6652  6 O 2.59-2.76
16 O 0.8305 0.3901 0.3034  1 Bi 2.11
17 Ba 0.9361 0.4290 0.8627  6 O 2.70-3.01
18 Ba 0.7823 0.2364 0.4958  6 O 2.69-2.97
19 O 0.4861 0.9584 0.3606  1 Bi 2.12
20 O 0.7385 0.2349 0.0283  2 Bi 2.22-2.39
21 O 0.6787 0.6430 0.4851  1 Bi 2.16
22 Ba 0.4691 0.9260 0.8602  6 O 2.74-2.95
23 O 0.9390 0.8686 0.3635  1 Bi 2.15
24 Ba 0.5454 0.1038 0.1712  5 O 2.68-2.99
25 Bi 0.4940 0.5172 0.0157  5 O 2.18-2.40
26 O 0.1104 0.0894 0.6168  1 Bi 2.14
27 O 0.3645 0.4747 0.2963  1 Bi 2.12
28 O 0.5991 0.6752 0.1713  2 Bi 2.18-2.32
29 O 0.9016 0.0016 0.8550  1 Bi 2.14

=====

Record 6
Computed, not measured: Ba5Bi2O2 after structural relaxation at the PBE level of DFT.

## Properties
- calculated density (g/cm3) = 5.767
- spin magnetization (μB/cell) = 0.00
- energy above the most stable polymorph in this dataset (meV/atom) = 38
- space-group type = No. 12

Cell: 5.7182 7.8099 8.1853 Å, 104.70 90.00 111.47°
Last column: nearest neighbours and their distance in Å.
Atoms (fractional coordinates):
1 Ba 0.6694 0.3389 0.9055  3 O 2.57-2.86
2 Ba 0.1476 0.2952 0.5743  1 O 2.54
3 Ba 0.3306 0.6611 0.0945  3 O 2.57-2.86
4 Ba 0.0000 0.0000 0.0000  2 O 2.73
5 O 0.8388 0.6776 0.1092  3 Ba 2.54-2.73
6 O 0.1612 0.3224 0.8908  3 Ba 2.54-2.73
7 Ba 0.8524 0.7048 0.4257  1 O 2.54
8 Bi 0.5969 0.1939 0.3008  7 Ba 3.57-3.79
9 Bi 0.4031 0.8061 0.6992  7 Ba 3.57-3.79

=====

Record 7
Computed, not measured: Ba2BiO3 after structural relaxation at the PBE level of DFT.

## Properties
- calculated density (g/cm3) = 6.623
- spin magnetization (μB/cell) = 0.00
- energy above the most stable polymorph in this dataset (meV/atom) = 49
- space-group type = No. 193

Cell: 6.5445 6.5463 7.1848 Å, 90.01 90.00 119.99°
Last column: nearest neighbours and their distance in Å.
Atoms (fractional coordinates):
1 Ba 0.6667 0.3334 0.5001  6 O 2.77
2 Ba 0.3333 0.6666 0.9999  6 O 2.77
3 O 0.9998 0.6428 0.7501  1 Bi 2.34
4 O 0.6430 0.6428 0.2501  1 Bi 2.34
5 O 0.3570 0.3572 0.7499  1 Bi 2.34
6 Bi 0.9999 0.0000 0.7500  3 O 2.34
7 Ba 0.3333 0.6666 0.4999  6 O 2.77
8 Bi 0.0001 0.0000 0.2500  3 O 2.34
9 O 0.6429 0.0000 0.7500  1 Bi 2.34
10 O 0.0002 0.3572 0.2499  1 Bi 2.34
11 O 0.3571 0.0000 0.2500  1 Bi 2.34
12 Ba 0.6667 0.3334 0.0001  6 O 2.77

=====

Record 8
Computed, not measured: Ba5Bi3O after structural relaxation at the PBE level of DFT.

## Properties
- calculated density (g/cm3) = 6.114
- spin magnetization (μB/cell) = 0.81
- E_tot (eV/atom) = -4.216
- space-group type = No. 140

Cell: 9.4016 9.4016 10.5335 Å, 116.50 116.50 90.00°
Last column: nearest neighbours and their distance in Å.
Atoms (fractional coordinates):
1 Ba 0.4971 0.6962 0.6933  1 O 2.55
2 Ba 0.1962 0.9971 0.6933  1 O 2.55
3 O 0.7500 0.2500 0.5000  4 Ba 2.55
4 Ba 0.8038 0.0029 0.3067  1 O 2.55
5 Ba 0.3038 0.8038 0.3067  1 O 2.55
6 Bi 0.7500 0.7500 0.5000  10 Ba 3.91-4.09
7 Ba 0.0029 0.5029 0.3067  1 O 2.55
8 Ba 0.5029 0.3038 0.3067  1 O 2.55
9 Bi 0.1368 0.3632 0.0000  1 Bi 3.64, 8 Ba 3.65-3.78
10 Bi 0.6368 0.1368 0.0000  1 Bi 3.64, 8 Ba 3.65-3.78
11 Ba 0.6962 0.1962 0.6933  1 O 2.55
12 Bi 0.3632 0.8632 0.0000  1 Bi 3.64, 8 Ba 3.65-3.78
13 Ba 0.5000 0.5000 0.0000  6 Bi 3.65-4.09
14 Ba 0.9971 0.4971 0.6933  1 O 2.55
15 O 0.2500 0.7500 0.5000  4 Ba 2.55
16 Ba 0.0000 0.0000 0.0000  6 Bi 3.65-4.09
17 Bi 0.2500 0.2500 0.5000  10 Ba 3.91-4.09
18 Bi 0.8632 0.6368 0.0000  1 Bi 3.64, 8 Ba 3.65-3.78

=====

Record 9
Computed, not measured: Ba11Bi9O30 after structural relaxation at the PBE level of DFT.

## Properties
- calculated density (g/cm3) = 7.363
- spin magnetization (μB/cell) = 0.00
- E_tot (eV/atom) = -5.942
- space-group type = No. 2

Cell: 8.8820 10.7612 10.8990 Å, 80.90 65.96 66.60°
Last column: nearest neighbours and their distance in Å.
Atoms (fractional coordinates):
1 O 0.3773 0.7060 0.9274  2 Bi 2.23-2.32
2 Ba 0.6441 0.4005 0.3038  6 O 2.73-3.03
3 Ba 0.0392 0.8068 0.1108  5 O 2.72-2.94
4 O 0.0009 0.7009 0.8461  1 Bi 2.08
5 Ba 0.5464 0.8010 0.0943  5 O 2.73-3.01
6 Bi 0.9005 0.9033 0.7949  6 O 2.08-2.21
7 O 0.7884 0.6466 0.2049  1 Bi 2.09
8 Ba 0.7464 0.0014 0.4997  5 O 2.71-2.94
9 Bi 0.7969 0.2998 0.6008  6 O 2.27-2.32
10 O 0.9991 0.2991 0.1539  1 Bi 2.08
11 O 0.8553 0.0723 0.2316  2 Bi 2.18-2.29
12 Ba 0.9608 0.1932 0.8892  5 O 2.72-2.94
13 Bi 0.5000 0.5000 0.0000  6 O 2.08-2.23
14 Ba 0.1406 0.3955 0.3091  4 O 2.69-2.97
15 O 0.9552 0.6988 0.3775  2 Bi 2.20-2.31
16 O 0.7292 0.5383 0.9512  1 Bi 2.08
17 O 0.8053 0.1147 0.7360  2 Bi 2.18-2.28
18 O 0.3989 0.5808 0.2045  2 Bi 2.21-2.29
19 Bi 0.3951 0.8987 0.8021  6 O 2.29-2.34
20 O 0.9911 0.1599 0.4149  2 Bi 2.19-2.32
21 Bi 0.6926 0.7050 0.4045  6 O 2.09-2.21
22 O 0.2145 0.0292 0.9943  2 Bi 2.21-2.31
23 O 0.5850 0.7656 0.6146  2 Bi 2.19-2.30
24 O 0.1947 0.8853 0.2640  2 Bi 2.18-2.28
25 O 0.2708 0.4617 0.0488  1 Bi 2.08
26 O 0.4150 0.2344 0.3854  2 Bi 2.19-2.30
27 Ba 0.8594 0.6045 0.6909  4 O 2.69-2.97
28 O 0.3888 0.0842 0.6569  2 Bi 2.17-2.34
29 Ba 0.0000 0.5000 0.0000  6 O 2.52-2.54
30 O 0.6435 0.8955 0.8268  2 Bi 2.20-2.32
31 Bi 0.0995 0.0967 0.2051  6 O 2.08-2.21
32 O 0.0089 0.8401 0.5851  2 Bi 2.19-2.32
33 Ba 0.4536 0.1990 0.9057  5 O 2.73-3.01
34 Bi 0.2031 0.7002 0.3992  6 O 2.27-2.32
35 O 0.1447 0.9277 0.7684  2 Bi 2.18-2.29
36 O 0.6011 0.4192 0.7955  2 Bi 2.21-2.29
37 O 0.0448 0.3012 0.6225  2 Bi 2.20-2.31
38 Ba 0.2536 0.9986 0.5003  5 O 2.71-2.94
39 O 0.5697 0.2938 0.5580  2 Bi 2.19-2.27
40 O 0.7742 0.4933 0.4733  2 Bi 2.21-2.30
41 O 0.2258 0.5067 0.5267  2 Bi 2.21-2.30
42 O 0.6227 0.2940 0.0726  2 Bi 2.23-2.32
43 O 0.4303 0.7062 0.4420  2 Bi 2.19-2.27
44 O 0.6112 0.9158 0.3431  2 Bi 2.17-2.34
45 Bi 0.3074 0.2950 0.5955  6 O 2.09-2.21
46 Bi 0.6049 0.1013 0.1979  6 O 2.29-2.34
47 O 0.3565 0.1045 0.1732  2 Bi 2.20-2.32
48 O 0.2116 0.3534 0.7951  1 Bi 2.09
49 O 0.7855 0.9708 0.0057  2 Bi 2.21-2.31
50 Ba 0.3559 0.5995 0.6962  6 O 2.73-3.03

=====

Record 10
Computed, not measured: Ba2Bi2O5 after structural relaxation at the PBE level of DFT.

## Properties
- calculated density (g/cm3) = 7.337
- spin magnetization (μB/cell) = 0.00
- E_tot (eV/atom) = -5.833
- space-group type = No. 12

Cell: 4.4973 6.0330 7.3211 Å, 111.20 107.89 90.00°
Last column: nearest neighbours and their distance in Å.
Atoms (fractional coordinates):
1 O 0.8269 0.4078 0.6539  1 Bi 2.12
2 O 0.0000 0.0000 0.0000  2 Bi 2.28
3 Bi 0.8543 0.0853 0.7086  4 O 2.12-2.33
4 O 0.1731 0.5922 0.3461  1 Bi 2.12
5 O 0.6033 0.8319 0.2067  2 Bi 2.33
6 Ba 0.6099 0.3517 0.2198  5 O 2.64-2.93
7 Bi 0.1457 0.9147 0.2914  4 O 2.12-2.33
8 Ba 0.3901 0.6483 0.7802  5 O 2.64-2.93
9 O 0.3967 0.1681 0.7933  2 Bi 2.33

=====

Record 11
Computed, not measured: Ba7Bi4O after structural relaxation at the PBE level of DFT.

## Properties
- calculated density (g/cm3) = 5.471
- spin magnetization (μB/cell) = 0.00
- E_tot (eV/atom) = -3.960
- space-group type = No. 12

Cell: 5.8624 10.5950 9.7571 Å, 78.03 72.52 73.94°
Last column: nearest neighbours and their distance in Å.
Atoms (fractional coordinates):
1 Ba 0.2108 0.1425 0.4359  4 Bi 3.43-3.73
2 Bi 0.7208 0.6628 0.8955  7 Ba 3.43-3.73
3 Bi 0.4186 0.7878 0.3751  7 Ba 3.54-3.91
4 Ba 0.9337 0.2346 0.8980  1 O 2.45
5 Ba 0.6407 0.4663 0.2523  4 Bi 3.56-3.64
6 Ba 0.3593 0.5337 0.7477  4 Bi 3.56-3.64
7 O 0.0000 0.0000 0.0000  2 Ba 2.45
8 Ba 0.7892 0.8575 0.5641  4 Bi 3.43-3.73
9 Bi 0.5814 0.2122 0.6249  7 Ba 3.54-3.91
10 Ba 0.5000 0.0000 0.0000  2 O 2.93
11 Ba 0.0663 0.7654 0.1020  1 O 2.45
12 Bi 0.2792 0.3372 0.1045  7 Ba 3.43-3.73

=====

Record 12
Computed, not measured: Ba4BiO6 after structural relaxation at the PBE level of DFT.

## Properties
- calculated density (g/cm3) = 6.495
- spin magnetization (μB/cell) = 1.26
- E_tot (eV/atom) = -5.913
- space-group type = No. 167

Cell: 7.5875 7.5875 7.5875 Å, 89.83 89.83 90.17°
Last column: nearest neighbours and their distance in Å.
Atoms (fractional coordinates):
1 O 0.7900 0.5751 0.5574  1 Bi 2.31
2 O 0.9249 0.7100 0.9426  1 Bi 2.31
3 Ba 0.2500 0.6096 0.1096  8 O 2.79-3.12
4 Ba 0.7500 0.7500 0.2500  6 O 2.70
5 O 0.4426 0.7900 0.4249  1 Bi 2.31
6 O 0.0751 0.2900 0.0574  1 Bi 2.31
7 O 0.5751 0.4426 0.2100  1 Bi 2.31
8 Bi 0.0000 0.0000 0.0000  6 O 2.31
9 Bi 0.5000 0.5000 0.5000  6 O 2.31
10 O 0.5574 0.2100 0.5751  1 Bi 2.31
11 Ba 0.2500 0.2500 0.7500  6 O 2.70
12 Ba 0.8904 0.2500 0.3904  8 O 2.79-3.12
13 O 0.7100 0.0574 0.0751  1 Bi 2.31
14 Ba 0.1096 0.7500 0.6096  8 O 2.79-3.12
15 O 0.2900 0.9426 0.9249  1 Bi 2.31
16 Ba 0.3904 0.1096 0.2500  8 O 2.79-3.12
17 Ba 0.7500 0.3904 0.8904  8 O 2.79-3.12
18 Ba 0.6096 0.8904 0.7500  8 O 2.79-3.12
19 O 0.4249 0.5574 0.7900  1 Bi 2.31
20 O 0.0574 0.9249 0.2900  1 Bi 2.31
21 O 0.2100 0.4249 0.4426  1 Bi 2.31
22 O 0.9426 0.0751 0.7100  1 Bi 2.31